Entry 1:
This record from Alexandria via LeMat-Bulk describes a relaxed MgInFeO4 crystal. The functional is PBE+U.

Cell and atoms, written as CIF:
```
data_MgInFeO4
_chemical_formula_sum 'Mg4 In4 Fe4 O16'
_space_group_name_H-M_alt 'I m m a'
_space_group_IT_number 74
_space_group_name_Hall '-I 2b 2'
_cell_length_a 6.153
_cell_length_b 6.258
_cell_length_c 8.714
_cell_angle_alpha 90.00
_cell_angle_beta 90.00
_cell_angle_gamma 90.00
loop_
_atom_site_label
_atom_site_type_symbol
_atom_site_fract_x
_atom_site_fract_y
_atom_site_fract_z
_atom_site_occupancy
Mg1 Mg 0.250 0.250 0.250 1
In1 In 0.000 0.000 0.000 1
Fe1 Fe 0.000 0.250 0.630 1
O1 O 0.000 0.010 0.250 1
O2 O 0.249 0.250 0.007 1
```


Entry 2:
This record from Alexandria via LeMat-Bulk describes a relaxed Mg2InFeO4 crystal. The functional is PBE+U.

Cell and atoms, written as CIF:
```
data_Mg2InFeO4
_chemical_formula_sum 'Mg8 In4 Fe4 O16'
_space_group_name_H-M_alt 'C 1 2/c 1'
_space_group_IT_number 15
_cell_length_a 8.855
_cell_length_b 9.073
_cell_length_c 6.264
_cell_angle_alpha 90.00
_cell_angle_beta 133.60
_cell_angle_gamma 90.00
loop_
_space_group_symop_operation_xyz
'x,y,z'
'-x,-y,-z'
'-x,y,-z+1/2'
'x,-y,z+1/2'
'x+1/2,y+1/2,z'
'-x+1/2,-y+1/2,-z'
'-x+1/2,y+1/2,-z+1/2'
'x+1/2,-y+1/2,z+1/2'
loop_
_atom_site_label
_atom_site_type_symbol
_atom_site_fract_x
_atom_site_fract_y
_atom_site_fract_z
_atom_site_occupancy
Mg1 Mg 0.000 0.000 0.000 1
Mg2 Mg 0.250 0.250 0.000 1
In1 In 0.000 0.500 0.000 1
Fe1 Fe 0.250 0.250 0.500 1
O1 O 0.017 0.240 0.518 1
O2 O 0.224 0.011 0.974 1
```


Ordered uncorrected energy results: -6.090, -5.720; unit eV per atom.
Ordered DOS(E_F) results: 0.00, 5.55; unit states/eV/cell.